{"formula": "YCoBr2", "functional": "PBE", "state": "optimized geometry", "cell": [[-1.212, -5.430, 1.985], [1.439, -4.785, -3.151], [2.474, 5.014, 1.907]], "species": ["Br", "Br", "Co", "Y"], "fractional_positions": [[0.000, 0.000, 0.000], [0.250, 0.750, 0.500], [0.500, 0.500, 0.000], [0.750, 0.250, 0.500]], "e_form_raw_ev_per_fu": -0.90, "total_energy_ha_per_atom": -0.164, "m_tot_mub_per_cell": 1.3}